# PBE-GGA Rb4AgBr2, relaxed
data_Rb4AgBr2
_chemical_formula_sum 'Rb4 Ag1 Br2'
_space_group_name_H-M_alt 'P 1'
_space_group_IT_number 1
_space_group_name_Hall 'P 1'
_cell_length_a 6.588
_cell_length_b 6.588
_cell_length_c 10.148
_cell_angle_alpha 108.94
_cell_angle_beta 108.94
_cell_angle_gamma 90.00
loop_
_atom_site_label
_atom_site_fract_x
_atom_site_fract_y
_atom_site_fract_z
_atom_site_occupancy
Br1 0.611 0.611 0.222 1
Br2 0.389 0.389 0.778 1
Rb1 0.794 0.794 0.587 1
Rb2 0.206 0.206 0.413 1
Rb3 0.000 0.500 0.000 1
Rb4 0.500 0.000 0.000 1
Ag1 0.000 0.000 0.000 1
# Crystal system: tetragonal
# Uncorrected formation energy, eV/atom: -0.79

---

# PBE-GGA Rb2Ag2Br7, relaxed
data_Rb2Ag2Br7
_chemical_formula_sum 'Rb2 Ag2 Br7'
_space_group_name_H-M_alt 'P 1'
_space_group_IT_number 1
_space_group_name_Hall 'P 1'
_cell_length_a 6.827
_cell_length_b 8.195
_cell_length_c 6.827
_cell_angle_alpha 89.99
_cell_angle_beta 98.12
_cell_angle_gamma 90.01
loop_
_atom_site_label
_atom_site_fract_x
_atom_site_fract_y
_atom_site_fract_z
_atom_site_occupancy
Rb1 0.775 0.500 0.775 1
Rb2 0.225 0.500 0.225 1
Ag1 0.736 0.000 0.264 1
Ag2 0.264 0.000 0.736 1
Br1 0.000 0.221 0.500 1
Br2 0.500 0.779 0.000 1
Br3 0.000 0.779 0.500 1
Br4 0.500 0.221 0.000 1
Br5 0.000 0.000 0.000 1
Br6 0.500 0.784 0.500 1
Br7 0.500 0.216 0.500 1
# Crystal system: orthorhombic
# Uncorrected formation energy, eV/atom: -0.58

---

# PBE-GGA Rb2AgBr5, relaxed
data_Rb2AgBr5
_chemical_formula_sum 'Rb2 Ag1 Br5'
_space_group_name_H-M_alt 'P 1'
_space_group_IT_number 1
_space_group_name_Hall 'P 1'
_cell_length_a 7.288
_cell_length_b 7.288
_cell_length_c 7.288
_cell_angle_alpha 101.36
_cell_angle_beta 113.67
_cell_angle_gamma 113.67
loop_
_atom_site_label
_atom_site_fract_x
_atom_site_fract_y
_atom_site_fract_z
_atom_site_occupancy
Rb1 0.500 0.269 0.769 1
Rb2 0.500 0.769 0.269 1
Ag1 0.000 0.993 0.993 1
Br1 0.548 0.797 0.797 1
Br2 0.000 0.248 0.797 1
Br3 0.000 0.797 0.248 1
Br4 0.452 0.248 0.248 1
Br5 0.000 0.656 0.656 1
# Crystal system: tetragonal
# Polymorph energy (0 for the lowest one), kJ/mol of atoms: 0.0
# Uncorrected formation energy, eV/atom: -0.96

---

# PBE-GGA RbAg2Br6, relaxed
data_RbAg2Br6
_chemical_formula_sum 'Rb1 Ag2 Br6'
_space_group_name_H-M_alt 'P 1'
_space_group_IT_number 1
_space_group_name_Hall 'P 1'
_cell_length_a 7.097
_cell_length_b 7.097
_cell_length_c 7.414
_cell_angle_alpha 90.00
_cell_angle_beta 90.00
_cell_angle_gamma 120.00
loop_
_atom_site_label
_atom_site_fract_x
_atom_site_fract_y
_atom_site_fract_z
_atom_site_occupancy
Rb1 0.000 0.000 0.000 1
Ag1 0.333 0.667 0.500 1
Ag2 0.667 0.333 0.500 1
Br1 0.588 0.000 0.274 1
Br2 0.412 0.412 0.274 1
Br3 0.000 0.588 0.274 1
Br4 0.588 0.588 0.726 1
Br5 0.000 0.412 0.726 1
Br6 0.412 0.000 0.726 1
# Crystal system: trigonal
# Polymorph energy (0 for the lowest one), kJ/mol of atoms: 7.5
# Uncorrected formation energy, eV/atom: -0.44

---

# PBE-GGA Rb3AgBr5, relaxed
data_Rb3AgBr5
_chemical_formula_sum 'Rb6 Ag2 Br10'
_space_group_name_H-M_alt 'P 1'
_space_group_IT_number 1
_space_group_name_Hall 'P 1'
_cell_length_a 9.296
_cell_length_b 9.296
_cell_length_c 10.368
_cell_angle_alpha 116.63
_cell_angle_beta 116.63
_cell_angle_gamma 90.00
loop_
_atom_site_label
_atom_site_fract_x
_atom_site_fract_y
_atom_site_fract_z
_atom_site_occupancy
Rb1 0.655 0.155 0.000 1
Rb2 0.345 0.845 0.000 1
Rb3 0.845 0.655 0.000 1
Rb4 0.155 0.345 0.000 1
Rb5 0.250 0.250 0.500 1
Rb6 0.750 0.750 0.500 1
Ag1 0.750 0.250 0.500 1
Ag2 0.250 0.750 0.500 1
Br1 0.008 0.508 0.715 1
Br2 0.708 0.208 0.715 1
Br3 0.208 0.008 0.715 1
Br4 0.508 0.708 0.715 1
Br5 0.992 0.492 0.285 1
Br6 0.292 0.792 0.285 1
Br7 0.792 0.992 0.285 1
Br8 0.492 0.292 0.285 1
Br9 0.500 0.500 0.000 1
Br10 0.000 0.000 0.000 1
# Crystal system: tetragonal
# Uncorrected formation energy, eV/atom: -1.19

---

# PBE-GGA Rb2Ag2Br5, relaxed
data_Rb2Ag2Br5
_chemical_formula_sum 'Rb2 Ag2 Br5'
_space_group_name_H-M_alt 'P 1'
_space_group_IT_number 1
_space_group_name_Hall 'P 1'
_cell_length_a 5.334
_cell_length_b 5.334
_cell_length_c 11.125
_cell_angle_alpha 90.00
_cell_angle_beta 90.00
_cell_angle_gamma 90.00
loop_
_atom_site_label
_atom_site_fract_x
_atom_site_fract_y
_atom_site_fract_z
_atom_site_occupancy
Rb1 0.000 0.000 0.000 1
Rb2 0.000 0.000 0.500 1
Ag1 0.500 0.500 0.246 1
Ag2 0.500 0.500 0.754 1
Br1 0.500 0.000 0.210 1
Br2 0.500 0.000 0.790 1
Br3 0.500 0.500 0.500 1
Br4 0.000 0.500 0.210 1
Br5 0.000 0.500 0.790 1
# Crystal system: tetragonal
# Uncorrected formation energy, eV/atom: -0.95

---

Mass density readings, ordered: 2.59, 4.15, 3.84, 4.01, 3.66, 4.12 Mg/m³